No. 1
# Li3Ga3Ni2

Li3Ga3Ni2 after structural relaxation (PBE-GGA, Alexandria).

Values from the calculation:
**Crystal system**: hexagonal
**Raw total energy**: -3.65 eV/atom
**Energy of formation from the pure elements**: -33.88 kJ per mole of atoms
**Magnetization**: 0.000 μB/atom
**Density of states at the Fermi level**: 0.4912 states/eV/atom
**Energy above the lowest structure with this stoichiometry**: 0.00 eV/f.u.
**Theoretical density**: 5.2 g/cm³

a = 2.690 Å, b = 6.901 Å, c = 6.901 Å
α = 120.00°, β = 90.00°, γ = 90.00°
Atoms (fractional coordinates):
Li: 0.000 0.235 0.000
Li: 0.000 0.765 0.765
Li: 0.000 0.000 0.235
Ga: 0.500 0.593 0.000
Ga: 0.500 0.000 0.593
Ga: 0.500 0.407 0.407
Ni: 0.000 0.333 0.667
Ni: 0.000 0.667 0.333


No. 2
# Li2Ga5Ni5

Li2Ga5Ni5 after structural relaxation (PBE-GGA, Alexandria).

Values from the calculation:
**Crystal system**: monoclinic
**Raw total energy**: -4.29 eV/atom
**Energy of formation from the pure elements**: -28.99 kJ per mole of atoms
**Magnetization**: 0.000 μB/atom
**Density of states at the Fermi level**: 0.5127 states/eV/atom
**Theoretical density**: 7.2 g/cm³

a = 3.360 Å, b = 6.064 Å, c = 8.675 Å
α = 116.16°, β = 90.00°, γ = 106.08°
Atoms (fractional coordinates):
Li: 0.918 0.837 0.250
Li: 0.082 0.163 0.750
Ga: 0.661 0.322 0.998
Ga: 0.500 0.000 0.500
Ga: 0.339 0.678 0.002
Ga: 0.393 0.787 0.734
Ga: 0.607 0.213 0.266
Ni: 0.159 0.319 0.497
Ni: 0.252 0.503 0.240
Ni: 0.841 0.681 0.503
Ni: 0.748 0.497 0.760
Ni: 0.000 0.000 0.000


No. 3
# LiGa3Ni4

LiGa3Ni4 after structural relaxation (PBE-GGA, Alexandria).

Values from the calculation:
**Crystal system**: tetragonal
**Raw total energy**: -4.57 eV/atom
**Energy of formation from the pure elements**: -29.08 kJ per mole of atoms
**Magnetization**: 0.000 μB/atom
**Density of states at the Fermi level**: 0.5776 states/eV/atom
**Theoretical density**: 7.7 g/cm³

a = 2.962 Å, b = 2.962 Å, c = 11.083 Å
α = 90.00°, β = 90.00°, γ = 90.00°
Atoms (fractional coordinates):
Li: 0.500 0.500 0.000
Ni: 0.000 0.000 0.626
Ni: 0.000 0.000 0.874
Ni: 0.000 0.000 0.374
Ni: 0.000 0.000 0.126
Ga: 0.500 0.500 0.243
Ga: 0.500 0.500 0.757
Ga: 0.500 0.500 0.500


No. 4
# Li2Ga2Ni

Li2Ga2Ni after structural relaxation (PBE-GGA, Alexandria).

Values from the calculation:
**Crystal system**: orthorhombic
**Raw total energy**: -3.41 eV/atom
**Energy of formation from the pure elements**: -26.46 kJ per mole of atoms
**Magnetization**: 0.000 μB/atom
**Density of states at the Fermi level**: 0.2075 states/eV/atom
**Energy above the lowest structure with this stoichiometry**: 0.19 eV/f.u.
**Theoretical density**: 4.5 g/cm³

a = 4.892 Å, b = 5.213 Å, c = 7.047 Å
α = 111.71°, β = 110.31°, γ = 90.00°
Atoms (fractional coordinates):
Ni: 0.750 0.500 0.000
Ni: 0.250 0.500 0.000
Li: 0.679 0.855 0.358
Li: 0.321 0.145 0.642
Li: 0.179 0.504 0.358
Li: 0.821 0.496 0.642
Ga: 0.410 0.749 0.820
Ga: 0.590 0.251 0.180
Ga: 0.910 0.071 0.820
Ga: 0.090 0.929 0.180